(1)
9
Lattice="7.0359 0.0000 0.0000 -3.5180 6.0933 0.0000 0.0000 0.0000 3.6639" Properties=species:S:1:pos:R:3 comment="GGA-PBE Sc3Al3Cu2Ge, relaxed" crystal_system=hexagonal spacegroup="P-62m (189)" pbc="T T T"
Sc -1.3805 2.3910 0.0000
Sc 2.7609 0.0000 0.0000
Sc 2.1375 3.7022 0.0000
Al -2.5554 4.4261 1.8319
Al 0.9625 1.6671 1.8319
Al 5.1109 0.0000 1.8319
Cu 0.0000 4.0622 1.8319
Cu 3.5180 2.0311 1.8319
Ge 0.0000 0.0000 0.0000

(2)
10
Lattice="-1.8458 1.8458 9.8765 1.8458 -1.8458 9.8765 1.8458 1.8458 -9.8765" Properties=species:S:1:pos:R:3 comment="GGA-PBE La2GdNi2B2N3, relaxed" crystal_system=tetragonal spacegroup="I4/mmm (139)" pbc="T T T"
La 0.0000 0.0000 2.5184
La 0.0000 0.0000 17.2346
Gd 0.0000 0.0000 9.8765
Ni 1.8458 0.0000 4.9382
Ni 0.0000 1.8458 4.9382
B 0.0000 0.0000 6.0102
B 0.0000 0.0000 13.7428
N 0.0000 0.0000 0.0000
N 0.0000 0.0000 7.4621
N 0.0000 0.0000 12.2908

Which DFT total energy belongs to each record? In order, -0.3758, -0.5488 Ry/atom.
Which total moment belongs to each record? In order, 0.02, 0.00 μB per formula unit.